{"formula": "MnRuPb2", "functional": "PBEsol", "state": "optimized geometry", "delta_e_f_mev_per_atom": 593, "vol_a3_per_atom": 18.7, "e_tot_ev_per_atom": -6.39, "lattice_angstrom": [[-2.363, 2.372, 3.343], [2.363, -2.372, 3.343], [2.363, 2.372, -3.343]], "species": ["Mn", "Ru", "Pb", "Pb"], "fractional_positions": [[0.000, 0.000, 0.000], [0.500, 0.500, 0.000], [0.250, 0.750, 0.500], [0.750, 0.250, 0.500]]}